# Mg2BeW (GGA-PBE, optimized geometry)
data_Mg2BeW
_chemical_formula_sum 'Mg2 Be1 W1'
_symmetry_space_group_name_H-M 'P 1'
_symmetry_Int_Tables_number 1
_cell_length_a 2.7546
_cell_length_b 2.7546
_cell_length_c 8.3874
_cell_angle_alpha 90.00
_cell_angle_beta 90.00
_cell_angle_gamma 90.00
loop_
_symmetry_equiv_pos_as_xyz
'x,y,z'
loop_
_atom_site_label
_atom_site_type_symbol
_atom_site_fract_x
_atom_site_fract_y
_atom_site_fract_z
Mg1 Mg 0.0000 0.0000 0.2289
Mg2 Mg 0.0000 0.0000 0.7711
Be1 Be 0.5000 0.5000 0.0000
W1 W 0.5000 0.5000 0.5000
# SG: No. 123
# Calculated formation energy: 0.45 eV/atom
# Electronic total energy: -0.33235 Ry/atom


# Mg4BeW (GGA-PBE, optimized geometry)
data_Mg4BeW
_chemical_formula_sum 'Mg4 Be1 W1'
_symmetry_space_group_name_H-M 'P 1'
_symmetry_Int_Tables_number 1
_cell_length_a 5.4304
_cell_length_b 5.4304
_cell_length_c 5.4304
_cell_angle_alpha 60.00
_cell_angle_beta 60.00
_cell_angle_gamma 60.00
loop_
_symmetry_equiv_pos_as_xyz
'x,y,z'
loop_
_atom_site_label
_atom_site_type_symbol
_atom_site_fract_x
_atom_site_fract_y
_atom_site_fract_z
Mg1 Mg 0.1246 0.1246 0.1246
Mg2 Mg 0.1246 0.1246 0.6263
Mg3 Mg 0.1246 0.6263 0.1246
Mg4 Mg 0.6263 0.1246 0.1246
Be1 Be 0.5000 0.5000 0.5000
W1 W 0.7500 0.7500 0.7500
# SG: No. 216
# Calculated formation energy: 0.94 eV/atom
# Electronic total energy: -0.21362 Ry/atom


# Mg2BeW (GGA-PBE, optimized geometry)
data_Mg2BeW
_chemical_formula_sum 'Mg4 Be2 W2'
_symmetry_space_group_name_H-M 'P 1'
_symmetry_Int_Tables_number 1
_cell_length_a 5.6594
_cell_length_b 5.6594
_cell_length_c 5.6594
_cell_angle_alpha 101.56
_cell_angle_beta 101.56
_cell_angle_gamma 126.82
loop_
_symmetry_equiv_pos_as_xyz
'x,y,z'
loop_
_atom_site_label
_atom_site_type_symbol
_atom_site_fract_x
_atom_site_fract_y
_atom_site_fract_z
Mg1 Mg 0.0771 0.6250 0.9521
Mg2 Mg 0.3750 0.3271 0.4521
Mg3 Mg 0.6729 0.1250 0.0479
Mg4 Mg 0.8750 0.9229 0.5479
Be1 Be 0.0000 0.0000 0.0000
Be2 Be 0.7500 0.2500 0.5000
W1 W 0.2500 0.7500 0.5000
W2 W 0.5000 0.5000 0.0000
# SG: No. 122
# Calculated formation energy: 0.89 eV/atom
# Electronic total energy: -0.29937 Ry/atom


# Mg2BeW2 (GGA-PBE, optimized geometry)
data_Mg2BeW2
_chemical_formula_sum 'Mg4 Be2 W4'
_symmetry_space_group_name_H-M 'P 1'
_symmetry_Int_Tables_number 1
_cell_length_a 6.0725
_cell_length_b 6.0725
_cell_length_c 4.3661
_cell_angle_alpha 90.00
_cell_angle_beta 90.00
_cell_angle_gamma 90.00
loop_
_symmetry_equiv_pos_as_xyz
'x,y,z'
loop_
_atom_site_label
_atom_site_type_symbol
_atom_site_fract_x
_atom_site_fract_y
_atom_site_fract_z
Mg1 Mg 0.1493 0.3507 0.0000
Mg2 Mg 0.3507 0.8507 0.0000
Mg3 Mg 0.6493 0.1493 0.0000
Mg4 Mg 0.8507 0.6493 0.0000
Be1 Be 0.0000 0.0000 0.0000
Be2 Be 0.5000 0.5000 0.0000
W1 W 0.1495 0.6495 0.5000
W2 W 0.3505 0.1495 0.5000
W3 W 0.6495 0.8505 0.5000
W4 W 0.8505 0.3505 0.5000
# SG: No. 127
# Calculated formation energy: 1.02 eV/atom
# Electronic total energy: -0.40746 Ry/atom


Look up the calculated formation energy of the second one. 0.94 eV/atom


Repeat the second record exactly.
# Mg4BeW (GGA-PBE, optimized geometry)
data_Mg4BeW
_chemical_formula_sum 'Mg4 Be1 W1'
_symmetry_space_group_name_H-M 'P 1'
_symmetry_Int_Tables_number 1
_cell_length_a 5.4304
_cell_length_b 5.4304
_cell_length_c 5.4304
_cell_angle_alpha 60.00
_cell_angle_beta 60.00
_cell_angle_gamma 60.00
loop_
_symmetry_equiv_pos_as_xyz
'x,y,z'
loop_
_atom_site_label
_atom_site_type_symbol
_atom_site_fract_x
_atom_site_fract_y
_atom_site_fract_z
Mg1 Mg 0.1246 0.1246 0.1246
Mg2 Mg 0.1246 0.1246 0.6263
Mg3 Mg 0.1246 0.6263 0.1246
Mg4 Mg 0.6263 0.1246 0.1246
Be1 Be 0.5000 0.5000 0.5000
W1 W 0.7500 0.7500 0.7500
# SG: No. 216
# Calculated formation energy: 0.94 eV/atom
# Electronic total energy: -0.21362 Ry/atom


Look up the electronic total energy of the first one. -0.33235 Ry/atom